Ac12Cd3Rh5 after structural relaxation. Source: Alexandria via LeMat-Bulk, functional PBE.

Cell: 15.908 15.908 15.908 Å, 109.47 109.47 109.47°
Fractional positions:
Ac 0.029 0.207 0.120
Ac 0.029 0.322 0.909
Ac 0.086 0.707 0.678
Ac 0.086 0.880 0.409
Ac 0.091 0.620 0.414
Ac 0.091 0.971 0.678
Ac 0.120 0.029 0.207
Ac 0.120 0.591 0.914
Ac 0.178 0.207 0.586
Ac 0.178 0.471 0.591
Ac 0.207 0.120 0.029
Ac 0.207 0.586 0.178
Ac 0.293 0.322 0.914
Ac 0.293 0.471 0.380
Ac 0.322 0.909 0.029
Ac 0.322 0.914 0.293
Ac 0.380 0.293 0.471
Ac 0.380 0.586 0.909
Ac 0.409 0.086 0.880
Ac 0.409 0.822 0.529
Ac 0.414 0.091 0.620
Ac 0.414 0.822 0.793
Ac 0.471 0.380 0.293
Ac 0.471 0.591 0.178
Ac 0.529 0.409 0.822
Ac 0.529 0.620 0.707
Ac 0.586 0.178 0.207
Ac 0.586 0.909 0.380
Ac 0.591 0.178 0.471
Ac 0.591 0.914 0.120
Ac 0.620 0.414 0.091
Ac 0.620 0.707 0.529
Ac 0.678 0.086 0.707
Ac 0.678 0.091 0.971
Ac 0.707 0.529 0.620
Ac 0.707 0.678 0.086
Ac 0.793 0.414 0.822
Ac 0.793 0.880 0.971
Ac 0.822 0.529 0.409
Ac 0.822 0.793 0.414
Ac 0.880 0.409 0.086
Ac 0.880 0.971 0.793
Ac 0.909 0.029 0.322
Ac 0.909 0.380 0.586
Ac 0.914 0.120 0.591
Ac 0.914 0.293 0.322
Ac 0.971 0.678 0.091
Ac 0.971 0.793 0.880
Cd 0.125 0.250 0.375
Cd 0.125 0.375 0.750
Cd 0.250 0.375 0.125
Cd 0.250 0.875 0.625
Cd 0.375 0.125 0.250
Cd 0.375 0.750 0.125
Cd 0.625 0.250 0.875
Cd 0.625 0.875 0.750
Cd 0.750 0.125 0.375
Cd 0.750 0.625 0.875
Cd 0.875 0.625 0.250
Cd 0.875 0.750 0.625
Rh 0.000 0.000 0.000
Rh 0.000 0.000 0.500
Rh 0.000 0.500 0.000
Rh 0.000 0.500 0.500
Rh 0.125 0.750 0.875
Rh 0.125 0.875 0.250
Rh 0.250 0.125 0.875
Rh 0.250 0.625 0.375
Rh 0.375 0.250 0.625
Rh 0.375 0.625 0.750
Rh 0.500 0.000 0.000
Rh 0.500 0.000 0.500
Rh 0.500 0.500 0.000
Rh 0.500 0.500 0.500
Rh 0.625 0.375 0.250
Rh 0.625 0.750 0.375
Rh 0.750 0.375 0.625
Rh 0.750 0.875 0.125
Rh 0.875 0.125 0.750
Rh 0.875 0.250 0.125

## Properties
D(E_F) (states/eV/f.u.): 17.84
Total DFT energy (no corrections) (eV per atom): -4.71



Ac3Cd7Rh4 after structural relaxation. Source: Alexandria via LeMat-Bulk, functional PBE.

Cell: 8.724 8.724 10.975 Å, 123.56 123.56 28.71°
Fractional positions:
Ac 0.000 0.000 0.000
Ac 0.301 0.301 0.285
Ac 0.699 0.699 0.715
Cd 0.000 0.000 0.500
Cd 0.168 0.168 0.430
Cd 0.323 0.323 0.995
Cd 0.482 0.482 0.704
Cd 0.518 0.518 0.296
Cd 0.677 0.677 0.005
Cd 0.832 0.832 0.570
Rh 0.108 0.108 0.804
Rh 0.335 0.335 0.747
Rh 0.665 0.665 0.253
Rh 0.892 0.892 0.196

## Properties
D(E_F) (states/eV/f.u.): 6.85
Total DFT energy (no corrections) (eV per atom): -3.84



Ac6Cd5Rh after structural relaxation. Source: Alexandria via LeMat-Bulk, functional PBE.

Cell: 9.776 9.776 5.666 Å, 106.76 106.76 48.91°
Fractional positions:
Ac 0.079 0.612 0.346
Ac 0.228 0.772 0.000
Ac 0.388 0.921 0.654
Ac 0.612 0.079 0.346
Ac 0.772 0.228 0.000
Ac 0.921 0.388 0.654
Cd 0.185 0.185 0.185
Cd 0.331 0.331 0.832
Cd 0.500 0.500 0.500
Cd 0.669 0.669 0.168
Cd 0.815 0.815 0.815
Rh 0.000 0.000 0.500

## Properties
D(E_F) (states/eV/f.u.): 9.58
Total DFT energy (no corrections) (eV per atom): -3.39



Ac2Cd3Rh2 after structural relaxation. Source: Alexandria via LeMat-Bulk, functional PBE.

Cell: 10.664 4.318 7.672 Å, 90.00 97.03 90.00°
Fractional positions:
Ac 0.125 0.000 0.353
Ac 0.375 0.500 0.647
Ac 0.625 0.500 0.353
Ac 0.875 0.000 0.647
Cd 0.000 0.500 0.000
Cd 0.183 0.000 0.873
Cd 0.317 0.500 0.127
Cd 0.500 0.000 0.000
Cd 0.683 0.500 0.873
Cd 0.817 0.000 0.127
Rh 0.087 0.500 0.654
Rh 0.413 0.000 0.346
Rh 0.587 0.000 0.654
Rh 0.913 0.500 0.346

## Properties
D(E_F) (states/eV/f.u.): 4.10
Energy relative to the lowest polymorph listed for this composition (kJ/mol of atoms): 4.2



AcCd12Rh6 after structural relaxation. Source: Alexandria via LeMat-Bulk, functional PBE.

Cell: 7.733 7.733 7.733 Å, 104.33 104.33 104.33°
Fractional positions:
Ac 0.000 0.000 0.000
Cd 0.117 0.500 0.883
Cd 0.117 0.883 0.500
Cd 0.160 0.420 0.420
Cd 0.420 0.160 0.420
Cd 0.420 0.420 0.160
Cd 0.500 0.117 0.883
Cd 0.500 0.883 0.117
Cd 0.580 0.580 0.840
Cd 0.580 0.840 0.580
Cd 0.840 0.580 0.580
Cd 0.883 0.117 0.500
Cd 0.883 0.500 0.117
Rh 0.261 0.261 0.698
Rh 0.261 0.698 0.261
Rh 0.302 0.739 0.739
Rh 0.698 0.261 0.261
Rh 0.739 0.302 0.739
Rh 0.739 0.739 0.302

## Properties
D(E_F) (states/eV/f.u.): 11.68
Total DFT energy (no corrections) (eV per atom): -3.14



Ac8Cd2Rh after structural relaxation. Source: Alexandria via LeMat-Bulk, functional PBE.

Cell: 10.452 10.452 7.928 Å, 92.45 92.45 29.24°
Fractional positions:
Ac 0.002 0.002 0.272
Ac 0.217 0.217 0.817
Ac 0.361 0.361 0.494
Ac 0.403 0.403 0.999
Ac 0.597 0.597 0.001
Ac 0.639 0.639 0.506
Ac 0.783 0.783 0.183
Ac 0.998 0.998 0.728
Cd 0.180 0.180 0.251
Cd 0.820 0.820 0.749
Rh 0.500 0.500 0.500

## Properties
D(E_F) (states/eV/f.u.): 13.36
Total DFT energy (no corrections) (eV per atom): -4.01



Q: Which of these has the highest D(E_F)?
A: Ac12Cd3Rh5